Entry 1:
# TlPdS4 PBE optimized geometry
data_TlPdS4
_space_group_name_H-M_alt 'I 41/a'
_space_group_IT_number 88
_cell_length_a 5.582
_cell_length_b 5.582
_cell_length_c 23.896
_cell_angle_alpha 90.00
_cell_angle_beta 90.00
_cell_angle_gamma 90.00
loop_
_space_group_symop_operation_xyz
'x,y,z'
'-x,-y,-z'
'-y+3/4,x+1/4,z+1/4'
'y+3/4,-x+1/4,-z+1/4'
'-x+1/2,-y,z+1/2'
'x+1/2,y,-z+1/2'
'y+3/4,-x+3/4,z+3/4'
'-y+3/4,x+3/4,-z+3/4'
'x+1/2,y+1/2,z+1/2'
'-x+1/2,-y+1/2,-z+1/2'
'-y+1/4,x+3/4,z+3/4'
'y+1/4,-x+3/4,-z+3/4'
'-x,-y+1/2,z'
'x,y+1/2,-z'
'y+1/4,-x+1/4,z+1/4'
'-y+1/4,x+1/4,-z+1/4'
loop_
_atom_site_label
_atom_site_fract_x
_atom_site_fract_y
_atom_site_fract_z
Tl1 0.000 0.250 0.125
Pd1 0.000 0.250 0.625
S1 0.095 0.092 0.430
# E = -4.017 eV/atom
# D(E_F) = 4.28 states/eV/f.u.
# formation energy from raw total energies = -0.5 kJ per mole of atoms
# crystal system = tetragonal



Entry 2:
# TlPdS2 PBE optimized geometry
data_TlPdS2
_space_group_name_H-M_alt 'R -3 m'
_space_group_IT_number 166
_space_group_name_Hall '-R 3 2"'
_cell_length_a 3.9129
_cell_length_b 3.9129
_cell_length_c 22.6285
_cell_angle_alpha 90.00
_cell_angle_beta 90.00
_cell_angle_gamma 120.00
loop_
_atom_site_label
_atom_site_fract_x
_atom_site_fract_y
_atom_site_fract_z
Tl1 0.0000 0.0000 0.0000
Pd1 0.0000 0.0000 0.5000
S1 0.0000 0.0000 0.4005
# E = -3.835 eV/atom
# D(E_F) = 4.16 states/eV/f.u.
# formation energy from raw total energies = 11.4 kJ per mole of atoms
# crystal system = trigonal



Entry 3:
# Tl12Pd3S5 PBE optimized geometry
data_Tl12Pd3S5
_space_group_name_H-M_alt 'I a -3 d'
_space_group_IT_number 230
_space_group_name_Hall '-I 4bd 2c 3'
_cell_length_a 16.860
_cell_length_b 16.860
_cell_length_c 16.860
_cell_angle_alpha 90.00
_cell_angle_beta 90.00
_cell_angle_gamma 90.00
loop_
_atom_site_label
_atom_site_fract_x
_atom_site_fract_y
_atom_site_fract_z
Tl1 0.020 0.080 0.652
Pd1 0.000 0.250 0.125
S1 0.000 0.000 0.000
S2 0.000 0.250 0.375
# E = -3.324 eV/atom
# D(E_F) = 9.04 states/eV/f.u.
# formation energy from raw total energies = -9.1 kJ per mole of atoms
# crystal system = cubic



Entry 4:
# TlPdS2 PBE optimized geometry
data_TlPdS2
_space_group_name_H-M_alt 'R 3 m'
_space_group_IT_number 160
_space_group_name_Hall 'R 3 -2"'
_cell_length_a 3.6758
_cell_length_b 3.6758
_cell_length_c 22.0041
_cell_angle_alpha 90.00
_cell_angle_beta 90.00
_cell_angle_gamma 120.00
loop_
_atom_site_label
_atom_site_fract_x
_atom_site_fract_y
_atom_site_fract_z
Tl1 0.0000 0.0000 0.0000
Pd1 0.0000 0.0000 0.1673
S1 0.0000 0.0000 0.5572
S2 0.0000 0.0000 0.7772
# E = -4.159 eV/atom
# D(E_F) = 3.60 states/eV/f.u.
# formation energy from raw total energies = -19.8 kJ per mole of atoms
# crystal system = trigonal



Entry 5:
# TlPdS3 PBE optimized geometry
data_TlPdS3
_space_group_name_H-M_alt 'P m -3 m'
_space_group_IT_number 221
_space_group_name_Hall '-P 4 2 3'
_cell_length_a 4.802
_cell_length_b 4.802
_cell_length_c 4.802
_cell_angle_alpha 90.00
_cell_angle_beta 90.00
_cell_angle_gamma 90.00
loop_
_atom_site_label
_atom_site_fract_x
_atom_site_fract_y
_atom_site_fract_z
Tl1 0.000 0.000 0.000
Pd1 0.500 0.500 0.500
S1 0.000 0.500 0.500
# E = -3.702 eV/atom
# D(E_F) = 8.44 states/eV/f.u.
# formation energy from raw total energies = 27.6 kJ per mole of atoms
# crystal system = cubic



Entry 6:
# TlPdS2 PBE optimized geometry
data_TlPdS2
_space_group_name_H-M_alt 'F m -3 m'
_space_group_IT_number 225
_space_group_name_Hall '-F 4 2 3'
_cell_length_a 6.713
_cell_length_b 6.713
_cell_length_c 6.713
_cell_angle_alpha 90.00
_cell_angle_beta 90.00
_cell_angle_gamma 90.00
loop_
_atom_site_label
_atom_site_fract_x
_atom_site_fract_y
_atom_site_fract_z
Tl1 0.000 0.000 0.000
Pd1 0.000 0.000 0.500
S1 0.250 0.250 0.250
# E = -3.556 eV/atom
# D(E_F) = 6.08 states/eV/f.u.
# formation energy from raw total energies = 38.3 kJ per mole of atoms
# crystal system = cubic



Entry 7:
# TlPd3S PBE optimized geometry
data_TlPd3S
_space_group_name_H-M_alt 'P m -3 m'
_space_group_IT_number 221
_space_group_name_Hall '-P 4 2 3'
_cell_length_a 5.041
_cell_length_b 5.041
_cell_length_c 5.041
_cell_angle_alpha 90.00
_cell_angle_beta 90.00
_cell_angle_gamma 90.00
loop_
_atom_site_label
_atom_site_fract_x
_atom_site_fract_y
_atom_site_fract_z
Tl1 0.000 0.000 0.000
Pd1 0.000 0.000 0.500
S1 0.500 0.500 0.500
# E = -3.345 eV/atom
# D(E_F) = 5.01 states/eV/f.u.
# formation energy from raw total energies = 103.2 kJ per mole of atoms
# crystal system = cubic



Entry 8:
# TlPd3S2 PBE optimized geometry
data_TlPd3S2
_space_group_name_H-M_alt 'C 1 2/m 1'
_space_group_IT_number 12
_space_group_name_Hall '-C 2y'
_cell_length_a 15.001
_cell_length_b 3.885
_cell_length_c 8.786
_cell_angle_alpha 90.00
_cell_angle_beta 111.19
_cell_angle_gamma 90.00
loop_
_atom_site_label
_atom_site_fract_x
_atom_site_fract_y
_atom_site_fract_z
Tl1 0.142 0.000 0.050
Pd1 0.044 0.000 0.380
Pd2 0.100 0.500 0.639
Pd3 0.187 0.500 0.405
S1 0.022 0.500 0.222
S2 0.197 0.000 0.711
# E = -4.575 eV/atom
# D(E_F) = 4.13 states/eV/f.u.
# formation energy from raw total energies = -20.1 kJ per mole of atoms
# crystal system = monoclinic



Entry 9:
# Tl2PdS4 PBE optimized geometry
data_Tl2PdS4
_space_group_name_H-M_alt 'P 1'
_space_group_IT_number 1
_space_group_name_Hall 'P 1'
_cell_length_a 6.243
_cell_length_b 9.073
_cell_length_c 9.161
_cell_angle_alpha 117.96
_cell_angle_beta 95.98
_cell_angle_gamma 104.34
loop_
_atom_site_label
_atom_site_fract_x
_atom_site_fract_y
_atom_site_fract_z
Tl1 0.000 0.000 0.000
Tl2 0.205 0.602 0.670
Tl3 0.572 0.530 0.171
Tl4 0.792 0.128 0.524
Pd1 0.161 0.867 0.582
Pd2 0.621 0.303 0.330
S1 0.120 0.624 0.309
S2 0.290 0.158 0.826
S3 0.315 0.098 0.346
S4 0.474 0.983 0.154
S5 0.541 0.045 0.757
S6 0.649 0.570 0.567
S7 0.767 0.788 0.541
S8 0.985 0.380 0.286
# E = -3.976 eV/atom
# formation energy from raw total energies = -19.2 kJ per mole of atoms
# crystal system = triclinic



Entry 10:
# Tl2Pd2S PBE optimized geometry
data_Tl2Pd2S
_space_group_name_H-M_alt 'P 4/m b m'
_space_group_IT_number 127
_space_group_name_Hall '-P 4 2ab'
_cell_length_a 6.542
_cell_length_b 6.542
_cell_length_c 5.035
_cell_angle_alpha 90.00
_cell_angle_beta 90.00
_cell_angle_gamma 90.00
loop_
_atom_site_label
_atom_site_fract_x
_atom_site_fract_y
_atom_site_fract_z
Tl1 0.167 0.333 0.000
Pd1 0.171 0.671 0.500
S1 0.000 0.000 0.500
# E = -3.934 eV/atom
# D(E_F) = 1.49 states/eV/f.u.
# formation energy from raw total energies = -8.2 kJ per mole of atoms
# crystal system = tetragonal



Entry 11:
# TlPd3S PBE optimized geometry
data_TlPd3S
_space_group_name_H-M_alt 'P 63/m m c'
_space_group_IT_number 194
_space_group_name_Hall '-P 6c 2c'
_cell_length_a 6.4429
_cell_length_b 6.4429
_cell_length_c 4.9907
_cell_angle_alpha 90.00
_cell_angle_beta 90.00
_cell_angle_gamma 120.00
loop_
_atom_site_label
_atom_site_fract_x
_atom_site_fract_y
_atom_site_fract_z
Tl1 0.3333 0.6667 0.2500
Pd1 0.1896 0.3791 0.7500
S1 0.0000 0.0000 0.0000
# E = -4.440 eV/atom
# D(E_F) = 1.50 states/eV/f.u.
# formation energy from raw total energies = -2.4 kJ per mole of atoms
# crystal system = hexagonal



Entry 12:
# TlPdS2 PBE optimized geometry
data_TlPdS2
_space_group_name_H-M_alt 'R -3 m'
_space_group_IT_number 166
_space_group_name_Hall '-R 3 2"'
_cell_length_a 3.5723
_cell_length_b 3.5723
_cell_length_c 25.9308
_cell_angle_alpha 90.00
_cell_angle_beta 90.00
_cell_angle_gamma 120.00
loop_
_atom_site_label
_atom_site_fract_x
_atom_site_fract_y
_atom_site_fract_z
Tl1 0.0000 0.0000 0.0000
Pd1 0.0000 0.0000 0.5000
S1 0.0000 0.0000 0.1180
# E = -4.111 eV/atom
# D(E_F) = 2.62 states/eV/f.u.
# formation energy from raw total energies = -15.2 kJ per mole of atoms
# crystal system = trigonal



Entry 13:
# TlPd2S3 PBE optimized geometry
data_TlPd2S3
_space_group_name_H-M_alt 'R -3 m'
_space_group_IT_number 166
_space_group_name_Hall '-R 3 2"'
_cell_length_a 7.0957
_cell_length_b 7.0957
_cell_length_c 18.6953
_cell_angle_alpha 90.00
_cell_angle_beta 90.00
_cell_angle_gamma 120.00
loop_
_atom_site_label
_atom_site_fract_x
_atom_site_fract_y
_atom_site_fract_z
Tl1 0.0000 0.0000 0.2041
Pd1 0.0000 0.0000 0.0000
Pd2 0.0000 0.5000 0.0000
S1 0.0056 0.5028 0.2686
# E = -4.543 eV/atom
# formation energy from raw total energies = -34.2 kJ per mole of atoms
# crystal system = trigonal



Entry 14:
# U3TlPd4S12 PBE optimized geometry
data_U3TlPd4S12
_space_group_name_H-M_alt 'R 3 2'
_space_group_IT_number 155
_space_group_name_Hall 'R 3 2"'
_cell_length_a 13.4197
_cell_length_b 13.4197
_cell_length_c 10.1950
_cell_angle_alpha 90.00
_cell_angle_beta 90.00
_cell_angle_gamma 120.00
loop_
_atom_site_label
_atom_site_fract_x
_atom_site_fract_y
_atom_site_fract_z
U1 0.0000 0.5703 0.0000
Tl1 0.0000 0.0000 0.0000
Pd1 0.0000 0.0000 0.5000
Pd2 0.0000 0.4135 0.5000
S1 0.0000 0.5868 0.5000
S2 0.0000 0.8311 0.5000
S3 0.0634 0.2113 0.1966
# E = -5.888 eV/atom
# D(E_F) = 18.51 states/eV/f.u.
# formation energy from raw total energies = -54.1 kJ per mole of atoms
# crystal system = trigonal



Entry 15:
# UTlPdS2 PBE optimized geometry
data_UTlPdS2
_space_group_name_H-M_alt 'P 1 2/c 1'
_space_group_IT_number 13
_space_group_name_Hall '-P 2yc'
_cell_length_a 7.684
_cell_length_b 4.980
_cell_length_c 7.194
_cell_angle_alpha 90.00
_cell_angle_beta 103.04
_cell_angle_gamma 90.00
loop_
_atom_site_label
_atom_site_fract_x
_atom_site_fract_y
_atom_site_fract_z
U1 0.000 0.005 0.250
Tl1 0.500 0.313 0.750
Pd1 0.000 0.500 0.000
S1 0.243 0.197 0.056
# E = -6.057 eV/atom
# D(E_F) = 5.62 states/eV/f.u.
# formation energy from raw total energies = -61.4 kJ per mole of atoms
# crystal system = monoclinic



Entry 16:
# U2TlPdS4 PBE optimized geometry
data_U2TlPdS4
_space_group_name_H-M_alt 'C m c m'
_space_group_IT_number 63
_space_group_name_Hall '-C 2c 2'
_cell_length_a 4.009
_cell_length_b 13.317
_cell_length_c 14.012
_cell_angle_alpha 90.00
_cell_angle_beta 90.00
_cell_angle_gamma 90.00
loop_
_atom_site_label
_atom_site_fract_x
_atom_site_fract_y
_atom_site_fract_z
U1 0.000 0.132 0.066
Tl1 0.000 0.387 0.250
Pd1 0.000 0.324 0.750
S1 0.000 0.069 0.250
S2 0.000 0.235 0.600
S3 0.000 0.500 0.000
# E = -6.884 eV/atom
# D(E_F) = 12.52 states/eV/f.u.
# formation energy from raw total energies = -101.6 kJ per mole of atoms
# crystal system = orthorhombic



Entry 17:
# U2Tl2PdS6 PBE optimized geometry
data_U2Tl2PdS6
_space_group_name_H-M_alt 'C 1 2/m 1'
_space_group_IT_number 12
_space_group_name_Hall '-C 2y'
_cell_length_a 6.520
_cell_length_b 12.059
_cell_length_c 7.856
_cell_angle_alpha 90.00
_cell_angle_beta 104.38
_cell_angle_gamma 90.00
loop_
_atom_site_label
_atom_site_fract_x
_atom_site_fract_y
_atom_site_fract_z
U1 0.000 0.162 0.000
Tl1 0.000 0.347 0.500
Pd1 0.000 0.500 0.000
S1 0.233 0.000 0.176
S2 0.243 0.312 0.204
# E = -6.104 eV/atom
# D(E_F) = 12.37 states/eV/f.u.
# formation energy from raw total energies = -86.6 kJ per mole of atoms
# crystal system = monoclinic



Entry 18:
# U2Tl3PdS6 PBE optimized geometry
data_U2Tl3PdS6
_space_group_name_H-M_alt 'C 1 2/m 1'
_space_group_IT_number 12
_space_group_name_Hall '-C 2y'
_cell_length_a 6.637
_cell_length_b 11.936
_cell_length_c 7.895
_cell_angle_alpha 90.00
_cell_angle_beta 105.73
_cell_angle_gamma 90.00
loop_
_atom_site_label
_atom_site_fract_x
_atom_site_fract_y
_atom_site_fract_z
U1 0.000 0.165 0.000
Tl1 0.000 0.000 0.500
Tl2 0.000 0.343 0.500
Pd1 0.000 0.500 0.000
S1 0.233 0.000 0.180
S2 0.245 0.319 0.207
# E = -5.803 eV/atom
# D(E_F) = 14.62 states/eV/f.u.
# formation energy from raw total energies = -80.5 kJ per mole of atoms
# crystal system = monoclinic



Entry 19:
# UTlPdS4 PBE optimized geometry
data_UTlPdS4
_space_group_name_H-M_alt 'P 1 21/m 1'
_space_group_IT_number 11
_space_group_name_Hall '-P 2yb'
_cell_length_a 6.584
_cell_length_b 5.686
_cell_length_c 9.039
_cell_angle_alpha 90.00
_cell_angle_beta 109.36
_cell_angle_gamma 90.00
loop_
_atom_site_label
_atom_site_fract_x
_atom_site_fract_y
_atom_site_fract_z
U1 0.238 0.250 0.445
Tl1 0.232 0.250 0.946
Pd1 0.283 0.750 0.673
S1 0.045 0.750 0.828
S2 0.047 0.750 0.410
S3 0.451 0.533 0.303
# E = -5.782 eV/atom
# D(E_F) = 2.98 states/eV/f.u.
# formation energy from raw total energies = -70.5 kJ per mole of atoms
# crystal system = monoclinic